(1)
The following is a DFT calculation (GGA-PBE) of a relaxed CrSeICl2 crystal.

The structure in POSCAR format:
```
CrSeICl2
1.0
5.011 0.000 0.000
0.000 5.011 0.000
0.000 0.000 5.989
Cr Se I Cl
1 1 1 2
Cartesian
0.000 0.000 0.000 Cr
2.505 2.505 2.994 Se
2.505 2.505 0.000 I
0.000 2.505 2.994 Cl
2.505 0.000 2.994 Cl
```

The value obtained for the formation energy (no corrections) is 146 kJ/mol of formula units.

***

(2)
The following is a DFT calculation (GGA-PBE) of a relaxed Mg2SbS crystal.

The structure in POSCAR format:
```
Mg2SbS
1.0
3.712 0.000 0.000
-1.856 3.215 0.000
0.000 0.000 21.864
Mg Sb S
6 3 3
Cartesian
0.000 0.000 0.000 Mg
0.000 0.000 4.226 Mg
0.000 2.143 14.576 Mg
0.000 2.143 18.801 Mg
1.856 1.072 7.288 Mg
1.856 1.072 11.514 Mg
0.000 0.000 9.387 Sb
0.000 2.143 2.099 Sb
1.856 1.072 16.675 Sb
0.000 0.000 13.082 S
0.000 2.143 5.794 S
1.856 1.072 20.370 S
```

The value obtained for the formation energy (no corrections) is -279 kJ/mol of formula units.

***

(3)
The following is a DFT calculation (GGA-PBE) of a relaxed InBiH6Ru2 crystal.

The structure in POSCAR format:
```
InBiH6Ru2
1.0
3.359 -4.986 0.000
3.359 4.986 0.000
-0.714 0.000 6.707
In Bi H Ru
2 2 12 4
Cartesian
2.824 3.267 5.030 In
3.181 -3.267 1.677 In
3.181 0.716 1.677 Bi
2.824 -0.716 5.030 Bi
2.655 3.533 2.453 H
0.803 0.048 2.689 H
1.443 1.232 4.427 H
0.446 -0.048 6.042 H
3.706 3.533 0.900 H
1.800 -1.232 1.073 H
4.205 1.232 5.634 H
2.298 -3.533 5.807 H
5.558 0.048 0.665 H
4.562 -1.232 2.280 H
5.201 -0.048 4.018 H
3.349 -3.533 4.254 H
0.727 1.560 5.845 Ru
1.084 -1.560 2.491 Ru
4.920 1.560 4.216 Ru
5.277 -1.560 0.862 Ru
```

***

(4)
The following is a DFT calculation (GGA-PBE) of a relaxed ScFeAs2 crystal.

The structure in POSCAR format:
```
ScFeAs2
1.0
3.748 0.000 0.000
-1.874 3.246 0.000
0.000 0.000 16.514
Sc Fe As
3 3 6
Cartesian
0.000 0.000 0.000 Sc
0.000 2.164 11.010 Sc
1.874 1.082 5.505 Sc
0.000 0.000 8.257 Fe
0.000 2.164 2.752 Fe
1.874 1.082 13.762 Fe
0.000 0.000 3.859 As
0.000 0.000 12.656 As
0.000 2.164 7.151 As
0.000 2.164 14.868 As
1.874 1.082 1.646 As
1.874 1.082 9.363 As
```

The calculation puts the calculated formation energy at -0.56 eV/atom.

***

(5)
The following is a DFT calculation (GGA-PBE) of a relaxed Ce2SiRu crystal.

The structure in POSCAR format:
```
Ce2SiRu
1.0
3.703 0.000 0.000
0.000 3.703 0.000
0.000 0.000 6.037
Ce Si Ru
2 1 1
Cartesian
0.000 0.000 1.425 Ce
0.000 0.000 4.612 Ce
1.852 1.852 0.000 Si
1.852 1.852 3.019 Ru
```

The value obtained for the formation energy (no corrections) is -169 kJ/mol of formula units.

***

(6)
The following is a DFT calculation (GGA-PBE) of a relaxed Al5Fe4Co crystal.

The structure in POSCAR format:
```
Al5Fe4Co
1.0
2.867 0.000 0.000
0.000 2.867 0.000
0.000 0.000 14.354
Al Fe Co
5 4 1
Cartesian
0.000 0.000 0.000 Al
0.000 0.000 2.885 Al
0.000 0.000 5.741 Al
0.000 0.000 8.613 Al
0.000 0.000 11.469 Al
1.433 1.433 1.444 Fe
1.433 1.433 4.310 Fe
1.433 1.433 10.045 Fe
1.433 1.433 12.910 Fe
1.433 1.433 7.177 Co
```

The calculation puts the calculated formation energy at -0.39 eV/atom.

***

| no. | density (g/cm3) | energy (Ry per atom) |
| --- | --- | --- |
| 1 | 3.6 | -0.247 |
| 2 | 3.9 | -0.263 |
| 3 | 7.9 | -0.318 |
| 4 | 6.2 | -0.484 |
| 5 | 8.2 | -0.520 |
| 6 | 5.9 | -0.467 |